PBE-GGA LiGd3Rh, relaxed; energy of formation = -0.19 eV/atom
1.0
5.455 0.000 0.000
0.000 5.455 0.000
0.000 0.000 5.455
Li Gd Rh
1 3 1
Cartesian
0.000 0.000 0.000
0.000 2.727 2.727
2.727 0.000 2.727
2.727 2.727 0.000
2.727 2.727 2.727

=====

PBE-GGA TaSiP3, relaxed; E above lowest polymorph = 198 meV/atom; E_form (uncorrected) = 0.8950 eV/atom
1.0
4.421 0.000 0.000
0.000 4.421 0.000
0.000 0.000 4.421
Ta Si P
1 1 3
Cartesian
0.000 0.000 0.000
2.210 2.210 2.210
0.000 2.210 2.210
2.210 0.000 2.210
2.210 2.210 0.000

=====

PBE-GGA KRbReBr6, relaxed; E_form (uncorrected) = -0.9272 eV/atom
1.0
8.124 0.000 0.000
-4.062 7.036 0.000
0.000 0.000 12.183
K Rb Re Br
2 2 2 12
Cartesian
0.000 0.000 0.000
0.000 0.000 6.091
0.000 4.690 3.046
4.062 2.345 9.137
0.000 4.690 9.137
4.062 2.345 3.046
-1.002 2.887 7.654
-2.063 4.725 10.620
1.002 2.887 10.620
-1.061 6.460 7.654
3.001 0.576 1.563
1.999 2.311 4.528
2.063 4.725 7.654
1.061 6.460 10.620
5.123 0.576 4.528
3.060 4.149 1.563
6.125 2.311 1.563
5.064 4.149 4.528

=====

PBE-GGA La2YAlV, relaxed; energy of formation = 0.54 eV/atom
1.0
5.814 0.000 0.000
0.000 5.814 0.000
0.000 0.000 4.905
La Y Al V
2 1 1 1
Cartesian
0.000 2.907 0.000
2.907 0.000 0.000
0.000 0.000 2.452
2.907 2.907 0.000
2.907 2.907 2.452

=====

PBE-GGA BeCdOF2, relaxed; E above lowest polymorph = 0 meV/atom; E_form (uncorrected) = -2.0458 eV/atom
1.0
3.379 0.000 0.000
0.000 3.379 0.000
0.000 0.000 4.313
Be Cd O F
1 1 1 2
Cartesian
0.000 0.000 0.000
1.689 1.689 2.157
0.000 0.000 2.157
0.000 1.689 0.000
1.689 0.000 0.000

=====

PBE-GGA Pm5Os2I2, relaxed; E_form (uncorrected) = -0.5147 eV/atom
1.0
8.489 -4.022 0.000
8.489 4.022 0.000
0.000 0.000 8.052
Pm Os I
10 4 4
Cartesian
0.000 0.000 0.000
6.719 2.777 5.270
6.719 1.245 1.244
10.260 2.777 5.270
10.260 1.245 1.244
8.489 0.000 4.026
6.719 -1.245 6.807
6.719 -2.777 2.782
10.260 -1.245 6.807
10.260 -2.777 2.782
8.489 2.886 2.894
8.489 1.136 6.920
8.489 -1.136 1.132
8.489 -2.886 5.158
3.643 0.000 0.000
4.847 0.000 4.026
12.132 0.000 4.026
13.336 0.000 0.000

=====

PBE-GGA Th2ZnPRh6, relaxed; energy of formation = -0.72 eV/atom
1.0
2.930 1.691 12.385
-2.930 1.691 12.385
0.000 -3.383 12.385
Th Zn P Rh
4 2 2 12
Cartesian
0.000 0.000 4.265
0.000 0.000 10.630
0.000 0.000 26.524
0.000 0.000 32.889
0.000 0.000 15.657
0.000 0.000 21.497
0.000 0.000 0.000
0.000 0.000 18.577
-1.603 -0.925 17.329
0.000 -1.628 13.746
-1.410 0.814 13.746
-1.410 -0.814 23.408
0.000 -1.851 19.825
-1.603 0.925 19.825
1.603 -0.925 17.329
0.000 1.851 17.329
1.410 0.814 13.746
1.410 -0.814 23.408
0.000 1.628 23.408
1.603 0.925 19.825

=====

PBE-GGA HfIn2Ag, relaxed; E above lowest polymorph = 78 meV/atom; energy of formation = -0.03 eV/atom
1.0
1.597 0.922 9.767
-1.597 0.922 9.767
0.000 -1.844 9.767
Hf In Ag
1 2 1
Cartesian
0.000 0.000 0.000
0.000 0.000 7.250
0.000 0.000 12.317
0.000 0.000 24.449

=====

Please write out number 6 again, unchanged.
PBE-GGA Pm5Os2I2, relaxed; E_form (uncorrected) = -0.5147 eV/atom
1.0
8.489 -4.022 0.000
8.489 4.022 0.000
0.000 0.000 8.052
Pm Os I
10 4 4
Cartesian
0.000 0.000 0.000
6.719 2.777 5.270
6.719 1.245 1.244
10.260 2.777 5.270
10.260 1.245 1.244
8.489 0.000 4.026
6.719 -1.245 6.807
6.719 -2.777 2.782
10.260 -1.245 6.807
10.260 -2.777 2.782
8.489 2.886 2.894
8.489 1.136 6.920
8.489 -1.136 1.132
8.489 -2.886 5.158
3.643 0.000 0.000
4.847 0.000 4.026
12.132 0.000 4.026
13.336 0.000 0.000

=====

Repeat the third record exactly.
PBE-GGA KRbReBr6, relaxed; E_form (uncorrected) = -0.9272 eV/atom
1.0
8.124 0.000 0.000
-4.062 7.036 0.000
0.000 0.000 12.183
K Rb Re Br
2 2 2 12
Cartesian
0.000 0.000 0.000
0.000 0.000 6.091
0.000 4.690 3.046
4.062 2.345 9.137
0.000 4.690 9.137
4.062 2.345 3.046
-1.002 2.887 7.654
-2.063 4.725 10.620
1.002 2.887 10.620
-1.061 6.460 7.654
3.001 0.576 1.563
1.999 2.311 4.528
2.063 4.725 7.654
1.061 6.460 10.620
5.123 0.576 4.528
3.060 4.149 1.563
6.125 2.311 1.563
5.064 4.149 4.528